A plane-wave DFT calculation with PBE-GGA was carried out for crystalline TbBe3Si3 at its relaxed geometry.

Calculated values
* ρ: 3.912 g cm⁻³
* raw total energy: -4.369 eV per atom

Cell and atoms, written as CIF:
```
data_TbBe3Si3
_chemical_formula_sum 'Tb2 Be6 Si6'
_symmetry_space_group_name_H-M 'P m -3 n'
_symmetry_Int_Tables_number 223
_symmetry_space_group_name_Hall '-P 4n 2 3'
_cell_length_a 6.1218
_cell_length_b 6.1218
_cell_length_c 6.1218
_cell_angle_alpha 90.00
_cell_angle_beta 90.00
_cell_angle_gamma 90.00
loop_
_atom_site_label
_atom_site_type_symbol
_atom_site_fract_x
_atom_site_fract_y
_atom_site_fract_z
_atom_site_occupancy
Tb1 Tb 0.0000 0.0000 0.0000 1
Be1 Be 0.0000 0.2500 0.5000 1
Si1 Si 0.0000 0.5000 0.2500 1
```